# 1
A relaxed DyYCS crystal. Source: Alexandria via LeMat-Bulk, functional GGA-PBE.

abc: 6.7133 6.7133 6.7133
angles: 32.19 32.19 32.19
Fractional coordinates of all 4 atoms:
1 Dy 0.0000 0.0000 0.0000
2 Y 0.5253 0.5253 0.5253
3 C 0.2633 0.2633 0.2633
4 S 0.7628 0.7628 0.7628

Uncorrected formation energy: -1.287 eV per atom
Total DFT energy (no corrections): -7.39 eV per atom

# 2
A relaxed Dy6SbC2 crystal. Source: Alexandria via LeMat-Bulk, functional GGA-PBE.

abc: 6.9875 6.9875 8.7548
angles: 122.42 122.42 41.11
Fractional coordinates of all 9 atoms:
1 Dy 0.0340 0.0340 0.1944
2 Dy 0.3036 0.3036 0.9312
3 Dy 0.3353 0.3353 0.4199
4 Dy 0.6647 0.6647 0.5801
5 Dy 0.6964 0.6964 0.0688
6 Dy 0.9660 0.9660 0.8056
7 Sb 0.0000 0.0000 0.5000
8 C 0.1799 0.1799 0.0910
9 C 0.8201 0.8201 0.9090

Uncorrected formation energy: -0.286 eV per atom
Total DFT energy (no corrections): -5.86 eV per atom

# 3
A relaxed Dy7Sb3C2 crystal. Source: Alexandria via LeMat-Bulk, functional GGA-PBE.

abc: 12.5960 12.5960 4.7934
angles: 90.00 90.00 157.70
Fractional coordinates of all 12 atoms:
1 Dy 0.0000 0.0000 0.0000
2 Dy 0.0968 0.9032 0.5000
3 Dy 0.1973 0.8027 0.0000
4 Dy 0.4029 0.5971 0.0000
5 Dy 0.5971 0.4029 0.0000
6 Dy 0.8027 0.1973 0.0000
7 Dy 0.9032 0.0968 0.5000
8 Sb 0.3120 0.6880 0.5000
9 Sb 0.5000 0.5000 0.5000
10 Sb 0.6880 0.3120 0.5000
11 C 0.1010 0.8990 0.0000
12 C 0.8990 0.1010 0.0000

Uncorrected formation energy: -0.681 eV per atom
Total DFT energy (no corrections): -5.93 eV per atom

# 4
A relaxed Dy5Sb2C2 crystal. Source: Alexandria via LeMat-Bulk, functional GGA-PBE.

abc: 7.0825 7.0825 7.0059
angles: 110.55 110.55 43.10
Fractional coordinates of all 9 atoms:
1 Dy 0.0000 0.0000 0.0000
2 Dy 0.1487 0.1487 0.5526
3 Dy 0.3372 0.3372 0.0981
4 Dy 0.6628 0.6628 0.9019
5 Dy 0.8513 0.8513 0.4474
6 Sb 0.3988 0.3988 0.6948
7 Sb 0.6012 0.6012 0.3052
8 C 0.1506 0.1506 0.8747
9 C 0.8494 0.8494 0.1253

Uncorrected formation energy: -0.505 eV per atom
Total DFT energy (no corrections): -6.03 eV per atom

# 5
A relaxed Dy8Sb2C3 crystal. Source: Alexandria via LeMat-Bulk, functional GGA-PBE.

abc: 8.3618 8.3618 6.3964
angles: 104.75 104.75 51.50
Fractional coordinates of all 13 atoms:
1 Dy 0.0920 0.0920 0.3965
2 Dy 0.1481 0.6681 0.1112
3 Dy 0.3319 0.8519 0.8888
4 Dy 0.4058 0.4058 0.5854
5 Dy 0.5942 0.5942 0.4146
6 Dy 0.6681 0.1481 0.1112
7 Dy 0.8519 0.3319 0.8888
8 Dy 0.9080 0.9080 0.6035
9 Sb 0.2537 0.2537 0.8218
10 Sb 0.7463 0.7463 0.1782
11 C 0.0000 0.0000 0.0000
12 C 0.2526 0.7474 0.5000
13 C 0.7474 0.2526 0.5000

Uncorrected formation energy: -0.470 eV per atom
Total DFT energy (no corrections): -6.06 eV per atom

# 6
A relaxed Dy4SbC crystal. Source: Alexandria via LeMat-Bulk, functional GGA-PBE.

abc: 5.9748 9.7683 5.9970
angles: 90.00 100.22 90.00
Fractional coordinates of all 12 atoms:
1 Dy 0.1345 0.2500 0.2383
2 Dy 0.2603 0.7500 0.3681
3 Dy 0.2610 0.0488 0.7581
4 Dy 0.2610 0.4512 0.7581
5 Dy 0.7390 0.5488 0.2419
6 Dy 0.7390 0.9512 0.2419
7 Dy 0.7397 0.2500 0.6319
8 Dy 0.8655 0.7500 0.7617
9 Sb 0.3998 0.7500 0.9026
10 Sb 0.6002 0.2500 0.0974
11 C 0.1167 0.2500 0.6137
12 C 0.8833 0.7500 0.3863

Uncorrected formation energy: -0.312 eV per atom
Total DFT energy (no corrections): -5.60 eV per atom